(1)
Compound: CuNiCl
Source: Alexandria via LeMat-Bulk
Functional: PBE
Structure: relaxed

Cell lengths 5.456, 5.456, 5.456 Å; angles 148.93, 148.93, 44.51 degrees
Atoms (fractional coordinates):
Cl: 0.017 0.017 0.000
Cu: 0.316 0.316 0.000
Ni: 0.667 0.667 0.000

distance to the lowest polymorph of the same formula = 142 meV/atom
SG = I4mm, No. 107

---

(2)
Compound: Cu2NiCl
Source: Alexandria via LeMat-Bulk
Functional: PBE
Structure: relaxed

Cell lengths 6.857, 6.857, 5.425 Å; angles 50.81, 50.81, 90.00 degrees
Atoms (fractional coordinates):
Ni: 0.000 0.000 0.000
Ni: 0.750 0.250 0.500
Cu: 0.621 0.125 0.250
Cu: 0.129 0.625 0.250
Cu: 0.375 0.379 0.750
Cu: 0.875 0.871 0.750
Cl: 0.500 0.500 0.000
Cl: 0.250 0.750 0.500

distance to the lowest polymorph of the same formula = 363 meV/atom
SG = I-42d, No. 122

---

(3)
Compound: Cu5NiCl12
Source: Alexandria via LeMat-Bulk
Functional: PBE
Structure: relaxed

Cell lengths 6.936, 6.099, 12.674 Å; angles 91.57, 92.77, 55.35 degrees
Atoms (fractional coordinates):
Cu: 0.500 0.000 0.500
Cu: 0.167 0.666 0.500
Cu: 0.833 0.334 0.500
Cu: 0.668 0.664 0.000
Cu: 0.332 0.336 0.000
Ni: 0.000 0.000 0.000
Cl: 0.885 0.000 0.391
Cl: 0.115 0.000 0.609
Cl: 0.656 0.000 0.910
Cl: 0.344 0.000 0.090
Cl: 0.265 0.663 0.889
Cl: 0.072 0.663 0.111
Cl: 0.928 0.337 0.889
Cl: 0.735 0.337 0.111
Cl: 0.449 0.333 0.609
Cl: 0.782 0.667 0.609
Cl: 0.218 0.333 0.391
Cl: 0.551 0.667 0.391

SG = C2/m, No. 12

---

(4)
Compound: Cu2NiCl8
Source: Alexandria via LeMat-Bulk
Functional: PBE
Structure: relaxed

Cell lengths 5.977, 7.510, 7.510 Å; angles 60.76, 90.27, 90.27 degrees
Atoms (fractional coordinates):
Cu: 0.587 0.831 0.831
Cu: 0.413 0.169 0.169
Ni: 0.000 0.000 0.000
Cl: 0.218 0.279 0.868
Cl: 0.782 0.132 0.721
Cl: 0.213 0.851 0.851
Cl: 0.787 0.149 0.149
Cl: 0.218 0.868 0.279
Cl: 0.782 0.721 0.132
Cl: 0.568 0.666 0.666
Cl: 0.432 0.334 0.334

SG = C2/m, No. 12

---

For the records above, the corresponding calculated total energy values read -10.7 -27.9 -57.3 -32.6 eV for the cell shown.
For the records above, the corresponding formation energy without anion corrections values read 0.336 0.462 -0.493 -0.350 eV per atom.